No. 1
Compound: Dy3ErSc
Source: Alexandria via LeMat-Bulk
Functional: PBE
Structure: relaxed

## Properties
Offset from the most stable computed form in eV/atom: 0.147
M_tot in μB per atom: 0.000
Energy in Ha/atom: -0.1755
Calculated formation energy in meV per atom: 164

Cell: 3.472 17.085 10.458 Å, 90.00 90.00 90.00°
Fractional positions:
Dy (0.248, 0.077, 0.059)
Dy (0.248, 0.077, 0.441)
Dy (0.248, 0.423, 0.559)
Dy (0.248, 0.423, 0.941)
Dy (0.252, 0.750, 0.000)
Dy (0.252, 0.750, 0.500)
Dy (0.748, 0.250, 0.000)
Dy (0.748, 0.250, 0.500)
Dy (0.752, 0.577, 0.059)
Dy (0.752, 0.577, 0.441)
Dy (0.752, 0.923, 0.559)
Dy (0.752, 0.923, 0.941)
Er (0.253, 0.603, 0.750)
Er (0.253, 0.897, 0.250)
Er (0.747, 0.103, 0.750)
Er (0.747, 0.397, 0.250)
Sc (0.247, 0.227, 0.250)
Sc (0.247, 0.273, 0.750)
Sc (0.753, 0.727, 0.250)
Sc (0.753, 0.773, 0.750)

---

No. 2
Compound: Sm4PtSe3
Source: Alexandria via LeMat-Bulk
Functional: PBE
Structure: relaxed

## Properties
Offset from the most stable computed form in eV/atom: 0.046
M_tot in μB per atom: 0.000
Energy in Ha/atom: -0.2216
E_form (uncorrected) in eV/atom: -1.609

Cell: 5.918 5.918 5.918 Å, 90.00 90.00 90.00°
Fractional positions:
Sm (0.000, 0.000, 0.000)
Sm (0.000, 0.500, 0.500)
Sm (0.500, 0.000, 0.500)
Sm (0.500, 0.500, 0.000)
Pt (0.500, 0.500, 0.500)
Se (0.000, 0.000, 0.500)
Se (0.000, 0.500, 0.000)
Se (0.500, 0.000, 0.000)

---

No. 3
Compound: Ac3Ga2Au9
Source: Alexandria via LeMat-Bulk
Functional: PBE
Structure: relaxed

## Properties
M_tot in μB per atom: 0.000
Energy in Ha/atom: -0.1487
Calculated formation energy in meV per atom: -625

Cell: 8.848 8.848 8.848 Å, 149.81 107.98 80.04°
Fractional positions:
Ac (0.000, 0.000, 0.000)
Ac (0.304, 0.304, 0.000)
Ac (0.696, 0.696, 0.000)
Ga (0.294, 0.500, 0.794)
Ga (0.706, 0.500, 0.206)
Au (0.025, 0.658, 0.366)
Au (0.156, 0.871, 0.285)
Au (0.292, 0.658, 0.634)
Au (0.413, 0.129, 0.285)
Au (0.500, 0.000, 0.500)
Au (0.587, 0.871, 0.715)
Au (0.708, 0.342, 0.366)
Au (0.844, 0.129, 0.715)
Au (0.975, 0.342, 0.634)

---

No. 4
Compound: HfTiAlIr
Source: Alexandria via LeMat-Bulk
Functional: PBE
Structure: relaxed

## Properties
M_tot in μB per atom: 0.500
Energy in Ha/atom: -0.3021
Calculated formation energy in meV per atom: -606

Cell: 4.537 4.537 4.537 Å, 60.00 60.00 60.00°
Fractional positions:
Hf (0.000, 0.000, 0.000)
Ti (0.250, 0.250, 0.250)
Al (0.500, 0.500, 0.500)
Ir (0.750, 0.750, 0.750)

---

No. 5
Compound: PmB2Os
Source: Alexandria via LeMat-Bulk
Functional: PBE
Structure: relaxed

## Properties
Offset from the most stable computed form in eV/atom: 0.000
M_tot in μB per atom: 0.000
Energy in Ha/atom: -0.2820
Calculated formation energy in meV per atom: -341

Cell: 5.542 3.826 11.481 Å, 90.00 90.00 90.00°
Fractional positions:
Pm (0.128, 0.250, 0.128)
Pm (0.372, 0.750, 0.628)
Pm (0.628, 0.250, 0.372)
Pm (0.872, 0.750, 0.872)
B (0.126, 0.250, 0.751)
B (0.142, 0.250, 0.456)
B (0.358, 0.750, 0.956)
B (0.374, 0.750, 0.251)
B (0.626, 0.250, 0.749)
B (0.642, 0.250, 0.044)
B (0.858, 0.750, 0.544)
B (0.874, 0.750, 0.249)
Os (0.123, 0.750, 0.376)
Os (0.377, 0.250, 0.876)
Os (0.623, 0.750, 0.124)
Os (0.877, 0.250, 0.624)

---

No. 6
Compound: Tb3Sm3PuS8
Source: Alexandria via LeMat-Bulk
Functional: PBE
Structure: relaxed

## Properties
M_tot in μB per atom: 0.416
Energy in Ha/atom: -0.2585
E_form (uncorrected) in eV/atom: -2.007

Cell: 7.938 7.938 7.938 Å, 59.81 59.81 59.81°
Fractional positions:
Tb (0.000, 0.500, 0.500)
Tb (0.500, 0.000, 0.500)
Tb (0.500, 0.500, 0.000)
Sm (0.000, 0.000, 0.500)
Sm (0.000, 0.500, 0.000)
Sm (0.500, 0.000, 0.000)
Pu (0.000, 0.000, 0.000)
S (0.250, 0.250, 0.745)
S (0.250, 0.745, 0.250)
S (0.252, 0.252, 0.252)
S (0.255, 0.750, 0.750)
S (0.745, 0.250, 0.250)
S (0.748, 0.748, 0.748)
S (0.750, 0.255, 0.750)
S (0.750, 0.750, 0.255)

---

No. 7
Compound: ZnAgCl2
Source: Alexandria via LeMat-Bulk
Functional: PBE
Structure: relaxed

## Properties
Offset from the most stable computed form in eV/atom: 0.171
M_tot in μB per atom: 0.000
Energy in Ha/atom: -0.0843
E_form (uncorrected) in eV/atom: -0.340

Cell: 3.809 3.809 6.262 Å, 90.00 90.00 90.00°
Fractional positions:
Zn (0.000, 0.000, 0.000)
Ag (0.500, 0.500, 0.466)
Cl (0.000, 0.000, 0.580)
Cl (0.500, 0.500, 0.039)

---

No. 8
Compound: NbTePCl2
Source: Alexandria via LeMat-Bulk
Functional: PBE
Structure: relaxed

## Properties
Offset from the most stable computed form in eV/atom: 1.058
M_tot in μB per atom: 0.608
Energy in Ha/atom: -0.1275
E_form (uncorrected) in eV/atom: 0.992

Cell: 5.059 5.059 5.514 Å, 90.00 90.00 90.00°
Fractional positions:
Nb (0.000, 0.000, 0.000)
Te (0.500, 0.500, 0.500)
P (0.500, 0.500, 0.000)
Cl (0.000, 0.500, 0.500)
Cl (0.500, 0.000, 0.500)

---

No. 9
Compound: Th2In2BRu4
Source: Alexandria via LeMat-Bulk
Functional: PBE
Structure: relaxed

## Properties
M_tot in μB per atom: 0.000
Energy in Ha/atom: -0.2666
Calculated formation energy in meV per atom: -133

Cell: 6.148 6.148 6.148 Å, 118.25 118.25 93.06°
Fractional positions:
Th (0.204, 0.204, 0.000)
Th (0.796, 0.796, 0.000)
In (0.250, 0.750, 0.500)
In (0.750, 0.250, 0.500)
B (0.500, 0.500, 0.000)
Ru (0.262, 0.262, 0.524)
Ru (0.262, 0.738, 0.000)
Ru (0.738, 0.262, 0.000)
Ru (0.738, 0.738, 0.476)

---

No. 10
Compound: CePmSi2
Source: Alexandria via LeMat-Bulk
Functional: PBE
Structure: relaxed

## Properties
M_tot in μB per atom: 0.227
Energy in Ha/atom: -0.2237
E_form (uncorrected) in eV/atom: -0.705

Cell: 3.908 5.868 5.868 Å, 44.29 90.00 90.00°
Fractional positions:
Ce (0.000, 0.000, 0.000)
Pm (0.500, 0.281, 0.281)
Si (0.000, 0.711, 0.711)
Si (0.500, 0.568, 0.568)

---

No. 11
Compound: TbPuTl3
Source: Alexandria via LeMat-Bulk
Functional: PBE
Structure: relaxed

## Properties
M_tot in μB per atom: 1.135
Energy in Ha/atom: -0.1885
Calculated formation energy in meV per atom: 84

Cell: 7.803 7.803 5.762 Å, 90.00 90.00 119.97°
Fractional positions:
Tb (0.166, 0.834, 0.750)
Tb (0.834, 0.166, 0.250)
Pu (0.500, 0.500, 0.000)
Pu (0.500, 0.500, 0.500)
Tl (0.096, 0.298, 0.750)
Tl (0.298, 0.096, 0.250)
Tl (0.298, 0.702, 0.250)
Tl (0.702, 0.298, 0.750)
Tl (0.702, 0.904, 0.750)
Tl (0.904, 0.702, 0.250)

---

No. 12
Compound: NbP2AuN
Source: Alexandria via LeMat-Bulk
Functional: PBE
Structure: relaxed

## Properties
M_tot in μB per atom: 0.604
Energy in Ha/atom: -0.1831
E_form (uncorrected) in eV/atom: 1.517

Cell: 4.794 4.794 5.379 Å, 90.00 90.00 90.00°
Fractional positions:
Nb (0.000, 0.000, 0.000)
P (0.000, 0.500, 0.000)
P (0.500, 0.000, 0.000)
Au (0.000, 0.000, 0.500)
N (0.500, 0.500, 0.500)